Computed, not measured: Li2TiBr4 after structural relaxation at the GGA-PBE level of DFT.

```
data_Li2TiBr4
_space_group_name_H-M_alt 'I -4 2 m'
_space_group_IT_number 121
_space_group_name_Hall 'I -4 2'
_cell_length_a 5.9962
_cell_length_b 5.9962
_cell_length_c 11.9135
_cell_angle_alpha 90.00
_cell_angle_beta 90.00
_cell_angle_gamma 90.00
loop_
_atom_site_label
_atom_site_type_symbol
_atom_site_fract_x
_atom_site_fract_y
_atom_site_fract_z
Li1 Li 0.0000 0.5000 0.2500
Ti1 Ti 0.0000 0.0000 0.0000
Br1 Br 0.2443 0.2443 0.1285
```

Results
crystal system = tetragonal
energy above the most stable polymorph in this dataset = 0.0 meV per atom
formation energy without anion corrections = -1214 meV/atom



Computed, not measured: LiTi2Br after structural relaxation at the GGA-PBE level of DFT.

```
data_LiTi2Br
_space_group_name_H-M_alt 'F m -3 m'
_space_group_IT_number 225
_space_group_name_Hall '-F 4 2 3'
_cell_length_a 6.4422
_cell_length_b 6.4422
_cell_length_c 6.4422
_cell_angle_alpha 90.00
_cell_angle_beta 90.00
_cell_angle_gamma 90.00
loop_
_atom_site_label
_atom_site_type_symbol
_atom_site_fract_x
_atom_site_fract_y
_atom_site_fract_z
Li1 Li 0.0000 0.0000 0.0000
Ti1 Ti 0.2500 0.2500 0.2500
Br1 Br 0.0000 0.0000 0.5000
```

Results
crystal system = cubic
energy above the most stable polymorph in this dataset = 130.7 meV per atom
formation energy without anion corrections = 429 meV/atom



Computed, not measured: Li2TiBr4 after structural relaxation at the GGA-PBE level of DFT.

```
data_Li2TiBr4
_space_group_name_H-M_alt 'I 4/m m m'
_space_group_IT_number 139
_space_group_name_Hall '-I 4 2'
_cell_length_a 5.3023
_cell_length_b 5.3023
_cell_length_c 13.6903
_cell_angle_alpha 90.00
_cell_angle_beta 90.00
_cell_angle_gamma 90.00
loop_
_atom_site_label
_atom_site_type_symbol
_atom_site_fract_x
_atom_site_fract_y
_atom_site_fract_z
Li1 Li 0.0000 0.0000 0.1310
Ti1 Ti 0.0000 0.0000 0.5000
Br1 Br 0.0000 0.0000 0.3079
Br2 Br 0.0000 0.5000 0.0000
```

Results
crystal system = tetragonal
energy above the most stable polymorph in this dataset = 130.5 meV per atom
formation energy without anion corrections = -1084 meV/atom



Computed, not measured: LiTi2Br8 after structural relaxation at the GGA-PBE level of DFT.

```
data_LiTi2Br8
_space_group_name_H-M_alt 'C 1 2/m 1'
_space_group_IT_number 12
_cell_length_a 12.6133
_cell_length_b 10.6930
_cell_length_c 6.7505
_cell_angle_alpha 90.00
_cell_angle_beta 90.74
_cell_angle_gamma 90.00
loop_
_space_group_symop_operation_xyz
'x,y,z'
'-x,-y,-z'
'-x,y,-z'
'x,-y,z'
'x+1/2,y+1/2,z'
'-x+1/2,-y+1/2,-z'
'-x+1/2,y+1/2,-z'
'x+1/2,-y+1/2,z'
loop_
_atom_site_label
_atom_site_type_symbol
_atom_site_fract_x
_atom_site_fract_y
_atom_site_fract_z
Li1 Li 0.0000 0.0000 0.0000
Ti1 Ti 0.2001 0.0000 0.6549
Br1 Br 0.1074 0.1751 0.7928
Br2 Br 0.1219 0.5000 0.2387
Br3 Br 0.1838 0.0000 0.3038
```

Results
crystal system = monoclinic
formation energy without anion corrections = -1208 meV/atom



Computed, not measured: Li2TiBr after structural relaxation at the GGA-PBE level of DFT.

```
data_Li2TiBr
_space_group_name_H-M_alt 'I -4 2 d'
_space_group_IT_number 122
_space_group_name_Hall 'I -4 2bw'
_cell_length_a 7.7398
_cell_length_b 7.7398
_cell_length_c 5.2019
_cell_angle_alpha 90.00
_cell_angle_beta 90.00
_cell_angle_gamma 90.00
loop_
_atom_site_label
_atom_site_type_symbol
_atom_site_fract_x
_atom_site_fract_y
_atom_site_fract_z
Li1 Li 0.1941 0.7500 0.1250
Ti1 Ti 0.0000 0.0000 0.5000
Br1 Br 0.0000 0.0000 0.0000
```

Results
crystal system = tetragonal
energy above the most stable polymorph in this dataset = 0.0 meV per atom
formation energy without anion corrections = 51 meV/atom



Computed, not measured: LiTiBr5 after structural relaxation at the GGA-PBE level of DFT.

```
data_LiTiBr5
_space_group_name_H-M_alt 'C 1 2/c 1'
_space_group_IT_number 15
_cell_length_a 15.6637
_cell_length_b 6.5839
_cell_length_c 9.8524
_cell_angle_alpha 90.00
_cell_angle_beta 109.96
_cell_angle_gamma 90.00
loop_
_space_group_symop_operation_xyz
'x,y,z'
'-x,-y,-z'
'-x,y,-z+1/2'
'x,-y,z+1/2'
'x+1/2,y+1/2,z'
'-x+1/2,-y+1/2,-z'
'-x+1/2,y+1/2,-z+1/2'
'x+1/2,-y+1/2,z+1/2'
loop_
_atom_site_label
_atom_site_type_symbol
_atom_site_fract_x
_atom_site_fract_y
_atom_site_fract_z
Li1 Li 0.0000 0.1074 0.2500
Ti1 Ti 0.0000 0.5000 0.0000
Br1 Br 0.0000 0.3225 0.7500
Br2 Br 0.1179 0.2559 0.4926
Br3 Br 0.1202 0.2620 0.1359
```

Results
crystal system = monoclinic
formation energy without anion corrections = -1188 meV/atom



Computed, not measured: LiTi2Br6 after structural relaxation at the GGA-PBE level of DFT.

```
data_LiTi2Br6
_space_group_name_H-M_alt 'C 1 2/c 1'
_space_group_IT_number 15
_cell_length_a 15.8822
_cell_length_b 11.2261
_cell_length_c 7.1126
_cell_angle_alpha 90.00
_cell_angle_beta 111.45
_cell_angle_gamma 90.00
loop_
_space_group_symop_operation_xyz
'x,y,z'
'-x,-y,-z'
'-x,y,-z+1/2'
'x,-y,z+1/2'
'x+1/2,y+1/2,z'
'-x+1/2,-y+1/2,-z'
'-x+1/2,y+1/2,-z+1/2'
'x+1/2,-y+1/2,z+1/2'
loop_
_atom_site_label
_atom_site_type_symbol
_atom_site_fract_x
_atom_site_fract_y
_atom_site_fract_z
Li1 Li 0.0000 0.0514 0.2500
Ti1 Ti 0.2434 0.1360 0.5829
Br1 Br 0.0889 0.1214 0.6180
Br2 Br 0.1580 0.2034 0.2202
Br3 Br 0.1801 0.4776 0.0443
```

Results
crystal system = monoclinic
formation energy without anion corrections = -1143 meV/atom



Computed, not measured: Li2TiBr after structural relaxation at the GGA-PBE level of DFT.

```
data_Li2TiBr
_space_group_name_H-M_alt 'F m -3 m'
_space_group_IT_number 225
_space_group_name_Hall '-F 4 2 3'
_cell_length_a 7.0759
_cell_length_b 7.0759
_cell_length_c 7.0759
_cell_angle_alpha 90.00
_cell_angle_beta 90.00
_cell_angle_gamma 90.00
loop_
_atom_site_label
_atom_site_type_symbol
_atom_site_fract_x
_atom_site_fract_y
_atom_site_fract_z
Li1 Li 0.2500 0.2500 0.2500
Ti1 Ti 0.0000 0.0000 0.0000
Br1 Br 0.0000 0.0000 0.5000
```

Results
crystal system = cubic
energy above the most stable polymorph in this dataset = 279.4 meV per atom
formation energy without anion corrections = 330 meV/atom



Computed, not measured: LiTi2Br after structural relaxation at the GGA-PBE level of DFT.

```
data_LiTi2Br
_space_group_name_H-M_alt 'I -4 2 d'
_space_group_IT_number 122
_space_group_name_Hall 'I -4 2bw'
_cell_length_a 7.4587
_cell_length_b 7.4587
_cell_length_c 5.2981
_cell_angle_alpha 90.00
_cell_angle_beta 90.00
_cell_angle_gamma 90.00
loop_
_atom_site_label
_atom_site_type_symbol
_atom_site_fract_x
_atom_site_fract_y
_atom_site_fract_z
Li1 Li 0.0000 0.0000 0.0000
Ti1 Ti 0.2126 0.7500 0.6250
Br1 Br 0.0000 0.0000 0.5000
```

Results
crystal system = tetragonal
energy above the most stable polymorph in this dataset = 0.0 meV per atom
formation energy without anion corrections = 298 meV/atom



Computed, not measured: Li2TiBr5 after structural relaxation at the GGA-PBE level of DFT.

```
data_Li2TiBr5
_space_group_name_H-M_alt 'C m c m'
_space_group_IT_number 63
_space_group_name_Hall '-C 2c 2'
_cell_length_a 5.2808
_cell_length_b 16.8486
_cell_length_c 12.0639
_cell_angle_alpha 90.00
_cell_angle_beta 90.00
_cell_angle_gamma 90.00
loop_
_atom_site_label
_atom_site_type_symbol
_atom_site_fract_x
_atom_site_fract_y
_atom_site_fract_z
Li1 Li 0.0000 0.1970 0.0536
Ti1 Ti 0.0000 0.1889 0.7500
Br1 Br 0.0000 0.0898 0.5988
Br2 Br 0.0000 0.2850 0.2500
Br3 Br 0.0000 0.3073 0.5981
```

Results
crystal system = orthorhombic
formation energy without anion corrections = -1295 meV/atom



Computed, not measured: Li3TiBr after structural relaxation at the GGA-PBE level of DFT.

```
data_Li3TiBr
_space_group_name_H-M_alt 'P m -3 m'
_space_group_IT_number 221
_space_group_name_Hall '-P 4 2 3'
_cell_length_a 5.4003
_cell_length_b 5.4003
_cell_length_c 5.4003
_cell_angle_alpha 90.00
_cell_angle_beta 90.00
_cell_angle_gamma 90.00
loop_
_atom_site_label
_atom_site_type_symbol
_atom_site_fract_x
_atom_site_fract_y
_atom_site_fract_z
Li1 Li 0.0000 0.0000 0.5000
Ti1 Ti 0.0000 0.0000 0.0000
Br1 Br 0.5000 0.5000 0.5000
```

Results
crystal system = cubic
energy above the most stable polymorph in this dataset = 557.1 meV per atom
formation energy without anion corrections = 712 meV/atom



Computed, not measured: Li3TiBr after structural relaxation at the GGA-PBE level of DFT.

```
data_Li3TiBr
_space_group_name_H-M_alt 'P m -3 m'
_space_group_IT_number 221
_space_group_name_Hall '-P 4 2 3'
_cell_length_a 4.9073
_cell_length_b 4.9073
_cell_length_c 4.9073
_cell_angle_alpha 90.00
_cell_angle_beta 90.00
_cell_angle_gamma 90.00
loop_
_atom_site_label
_atom_site_type_symbol
_atom_site_fract_x
_atom_site_fract_y
_atom_site_fract_z
Li1 Li 0.0000 0.0000 0.5000
Ti1 Ti 0.5000 0.5000 0.5000
Br1 Br 0.0000 0.0000 0.0000
```

Results
crystal system = cubic
energy above the most stable polymorph in this dataset = 0.0 meV per atom
formation energy without anion corrections = 155 meV/atom



> The lowest formation energy without anion corrections belongs to which entry?

Li2TiBr5



> Which of these has the highest formation energy without anion corrections?

number 11



> Among the records above, which one has the lowest formation energy without anion corrections?

Li2TiBr5



Repeat the seventh record exactly.
Computed, not measured: LiTi2Br6 after structural relaxation at the GGA-PBE level of DFT.

```
data_LiTi2Br6
_space_group_name_H-M_alt 'C 1 2/c 1'
_space_group_IT_number 15
_cell_length_a 15.8822
_cell_length_b 11.2261
_cell_length_c 7.1126
_cell_angle_alpha 90.00
_cell_angle_beta 111.45
_cell_angle_gamma 90.00
loop_
_space_group_symop_operation_xyz
'x,y,z'
'-x,-y,-z'
'-x,y,-z+1/2'
'x,-y,z+1/2'
'x+1/2,y+1/2,z'
'-x+1/2,-y+1/2,-z'
'-x+1/2,y+1/2,-z+1/2'
'x+1/2,-y+1/2,z+1/2'
loop_
_atom_site_label
_atom_site_type_symbol
_atom_site_fract_x
_atom_site_fract_y
_atom_site_fract_z
Li1 Li 0.0000 0.0514 0.2500
Ti1 Ti 0.2434 0.1360 0.5829
Br1 Br 0.0889 0.1214 0.6180
Br2 Br 0.1580 0.2034 0.2202
Br3 Br 0.1801 0.4776 0.0443
```

Results
crystal system = monoclinic
formation energy without anion corrections = -1143 meV/atom